Record 1
The following is a PBE calculation of Sb2IrRuI after structural relaxation, from Alexandria.

a b c (Å): 4.9599 4.9599 5.3388
angles (deg): 90.00 90.00 90.00
With the nearest neighbours (Å) after each atom.
Space group P4/mmm (No. 123)
Symmetry-distinct sites (fractional):
Sb1 0.0000 0.5000 0.0000 x2  2 Ru 2.48
Ir1 0.0000 0.0000 0.5000 x1  4 I 3.51, 8 Sb 3.64
Ru1 0.5000 0.5000 0.0000 x1  4 Sb 2.48, 2 I 2.67
I1 0.5000 0.5000 0.5000 x1  2 Ru 2.67

Computed properties:
energy relative to the elements, uncorrected = 1.16 eV per atom


Record 2
The following is a PBE calculation of SbIrRuI2 after structural relaxation, from Alexandria.

a b c (Å): 5.5815 5.5815 4.9554
angles (deg): 90.00 90.00 90.00
With the nearest neighbours (Å) after each atom.
Space group P4/mmm (No. 123)
Symmetry-distinct sites (fractional):
Sb1 0.0000 0.0000 0.0000 x1  2 Ir 2.48
Ir1 0.0000 0.0000 0.5000 x1  2 Sb 2.48
Ru1 0.5000 0.5000 0.0000 x1  8 I 3.73, 4 Sb 3.95
I1 0.0000 0.5000 0.5000 x2  2 Ir 2.79

Computed properties:
energy relative to the elements, uncorrected = 1.22 eV per atom
E above lowest polymorph = 0.000 eV per atom


Record 3
The following is a PBE calculation of IrRu2SeI after structural relaxation, from Alexandria.

a b c (Å): 4.6654 4.6654 4.6738
angles (deg): 90.00 90.00 90.00
With the nearest neighbours (Å) after each atom.
Space group P4/mmm (No. 123)
Symmetry-distinct sites (fractional):
Ir1 0.0000 0.0000 0.0000 x1  2 Se 2.34
Ru1 0.0000 0.5000 0.5000 x2  2 Se 2.33
Se1 0.0000 0.0000 0.5000 x1  4 Ru 2.33, 2 Ir 2.34
I1 0.5000 0.5000 0.0000 x1  4 Ir 3.30, 8 Ru 3.30

Computed properties:
energy relative to the elements, uncorrected = 1.25 eV per atom


| no. | density of states at the Fermi level (states/eV per cell) |
| --- | --- |
| 1 | 4.08 |
| 2 | 3.50 |
| 3 | 4.49 |